Entry 1:
A geometry-optimized SrZrSc structure. Source: the Alexandria database, functional GGA-PBEsol.

Results
The value obtained for the energy relative to the elements is 1.4286 eV/atom. The calculation puts the uncorrected energy at -0.16230 Ha/atom. The symmetry is F-43m (216).

Structure (extended XYZ):
```
3
Lattice="5.1339 0.0000 0.0000 2.5669 4.4461 0.0000 2.5669 1.4820 4.1918" Properties=species:S:1:pos:R:3 pbc="T T T"
Zr 0.0000 0.0000 0.0000
Sc 5.1339 2.9640 2.0959
Sr 2.5669 1.4820 1.0479
```

Entry 2:
A geometry-optimized HoTaO4 structure. Source: the Alexandria database, functional GGA-PBEsol.

Results
The calculation puts the uncorrected energy at -0.35762 Ha/atom. The symmetry is P2/c (13).

Structure (extended XYZ):
```
12
Lattice="5.0861 -0.0062 0.0000 -0.6010 5.2310 0.0000 0.0000 0.0000 5.3902" Properties=species:S:1:pos:R:3 pbc="T T T"
O 3.5772 2.1006 0.4185
O 1.2084 0.5087 0.4185
O 0.9078 3.1242 4.9717
O 0.7535 5.1787 3.0163
O 1.0540 2.5632 2.3739
O 3.2767 4.7161 4.9717
O 3.7315 0.0461 2.3739
O 3.4310 2.6616 3.0163
Ta 2.0923 3.9201 3.7540
Ta 2.3928 1.3046 1.6362
Ho -0.4508 3.9232 1.2671
Ho -0.1503 1.3077 4.1231
```

Entry 3:
A geometry-optimized B2WI structure. Source: the Alexandria database, functional GGA-PBEsol.

Results
The calculation puts the uncorrected energy at -0.20122 Ha/atom. The symmetry is Fm-3m (225).

Structure (extended XYZ):
```
4
Lattice="4.1839 0.0000 0.0000 2.0919 3.6233 0.0000 2.0919 1.2078 3.4161" Properties=species:S:1:pos:R:3 pbc="T T T"
W 4.1839 2.4155 1.7081
B 6.2758 3.6233 2.5621
B 2.0919 1.2078 0.8540
I 0.0000 0.0000 0.0000
```

Entry 4:
A geometry-optimized Rb2HfAsW structure. Source: the Alexandria database, functional GGA-PBEsol.

Results
The value obtained for the energy relative to the elements is 1.8172 eV/atom. The calculation puts the uncorrected energy at -0.16450 Ha/atom. The symmetry is P4/mmm (123).

Structure (extended XYZ):
```
5
Lattice="4.9597 0.0000 0.0000 0.0000 5.8370 0.0000 0.0000 0.0000 5.8370" Properties=species:S:1:pos:R:3 pbc="T T T"
Rb 0.0000 2.9185 0.0000
Rb 0.0000 0.0000 2.9185
W 0.0000 0.0000 0.0000
As 2.4798 2.9185 2.9185
Hf 2.4798 0.0000 0.0000
```

Entry 5:
A geometry-optimized CrO2 structure. Source: the Alexandria database, functional GGA-PBEsol.

Results
The calculation puts the uncorrected energy at -0.32456 Ha/atom. The symmetry is P4_2/mnm (136).

Structure (extended XYZ):
```
6
Lattice="-0.4072 -2.0456 -1.9993 4.2631 0.1749 -1.0473 0.8625 -3.0976 2.9938" Properties=species:S:1:pos:R:3 pbc="T T T"
O 3.0383 -0.9991 -0.6405
O 1.8837 -2.9465 1.5872
O 3.7199 -3.5520 -0.2546
O 0.7950 -2.4390 -0.7977
Cr 1.8261 -1.4469 -2.0232
Cr 0.3295 -2.0601 0.9971
```

Entry 6:
A geometry-optimized AgMo2W structure. Source: the Alexandria database, functional GGA-PBEsol.

Results
The value obtained for the energy relative to the elements is 0.4679 eV/atom. The calculation puts the energy above the most stable polymorph in this dataset at 0.075 eV/atom. The calculation puts the uncorrected energy at -0.35631 Ha/atom. The symmetry is R-3m (166).

Structure (extended XYZ):
```
4
Lattice="2.7414 0.0000 0.0000 1.3707 2.3742 0.0000 1.3707 0.7914 9.7462" Properties=species:S:1:pos:R:3 pbc="T T T"
Mo 4.1122 2.3742 7.2818
Mo 1.3707 0.7914 2.4643
Ag 0.0000 0.0000 0.0000
W 2.7414 1.5828 4.8731
```

Entry 7:
A geometry-optimized ZnIrI3 structure. Source: the Alexandria database, functional GGA-PBEsol.

Results
The calculation puts the energy above the most stable polymorph in this dataset at 0.728 eV/atom. The calculation puts the uncorrected energy at -0.07904 Ha/atom. The symmetry is Pm-3m (221).

Structure (extended XYZ):
```
5
Lattice="5.3005 0.0000 0.0000 0.0000 5.3005 0.0000 0.0000 0.0000 5.3005" Properties=species:S:1:pos:R:3 pbc="T T T"
I 0.0000 2.6503 0.0000
I 2.6503 0.0000 0.0000
I 0.0000 0.0000 2.6503
Ir 2.6503 2.6503 2.6503
Zn 0.0000 0.0000 0.0000
```

Entry 8:
A geometry-optimized TaAsPt2 structure. Source: the Alexandria database, functional GGA-PBEsol.

Results
The value obtained for the energy relative to the elements is -0.3514 eV/atom. The calculation puts the uncorrected energy at -0.30309 Ha/atom. The symmetry is Imm2 (44).

Structure (extended XYZ):
```
4
Lattice="-2.6732 2.5696 -0.3952 -1.6283 -2.2288 -3.4781 -0.1181 -2.1702 4.2803" Properties=species:S:1:pos:R:3 pbc="T T T"
As -2.0099 -2.1684 -0.5038
Ta -2.2795 0.0569 -1.8037
Pt -2.4205 0.3294 0.9220
Pt -4.2798 -1.7063 0.2627
```

Entry 9:
A geometry-optimized LaMg2In structure. Source: the Alexandria database, functional GGA-PBEsol.

Results
The value obtained for the energy relative to the elements is -0.1372 eV/atom. The calculation puts the uncorrected energy at -0.11312 Ha/atom. The symmetry is P4/mmm (123).

Structure (extended XYZ):
```
4
Lattice="3.4616 0.0000 0.0000 0.0000 3.4616 0.0000 0.0000 0.0000 8.6173" Properties=species:S:1:pos:R:3 pbc="T T T"
Mg 0.0000 0.0000 6.7652
Mg 0.0000 0.0000 1.8521
In 1.7308 1.7308 0.0000
La 1.7308 1.7308 4.3087
```

Entry 10:
A geometry-optimized KAlH3 structure. Source: the Alexandria database, functional GGA-PBEsol.

Results
The calculation puts the uncorrected energy at -0.11234 Ha/atom. The symmetry is Pm-3m (221).

Structure (extended XYZ):
```
5
Lattice="3.9210 0.0000 0.0000 0.0000 3.9210 0.0000 0.0000 0.0000 3.9210" Properties=species:S:1:pos:R:3 pbc="T T T"
H 1.9605 0.0000 0.0000
H 0.0000 0.0000 1.9605
H 0.0000 1.9605 0.0000
Al 0.0000 0.0000 0.0000
K 1.9605 1.9605 1.9605
```

Entry 11:
A geometry-optimized CdCu2Cl structure. Source: the Alexandria database, functional GGA-PBEsol.

Results
The calculation puts the uncorrected energy at -0.10979 Ha/atom. The symmetry is P2/m (10).

Structure (extended XYZ):
```
4
Lattice="3.0501 0.0000 0.0000 0.0000 3.8753 0.0273 0.0000 -0.0324 6.0675" Properties=species:S:1:pos:R:3 pbc="T T T"
Cl 1.5250 1.9376 0.0137
Cd 1.5250 -0.0162 3.0338
Cu 0.0000 1.9289 1.8756
Cu 0.0000 1.9140 4.2192
```

Entry 12:
A geometry-optimized CrO2 structure. Source: the Alexandria database, functional GGA-PBEsol.

Results
The calculation puts the uncorrected energy at -0.31886 Ha/atom. The symmetry is Pa-3 (205).

Structure (extended XYZ):
```
12
Lattice="4.6828 0.0000 0.0000 0.0000 4.6828 0.0000 0.0000 0.0000 4.6828" Properties=species:S:1:pos:R:3 pbc="T T T"
O 0.7030 3.0444 3.9797
O 3.0444 3.0444 3.0444
O 1.6384 1.6384 1.6384
O 1.6384 0.7030 3.9797
O 3.0444 3.9797 0.7030
O 0.7030 3.9797 1.6384
O 3.9797 0.7030 3.0444
O 3.9797 1.6384 0.7030
Cr 0.0000 2.3414 2.3414
Cr 2.3414 0.0000 2.3414
Cr 0.0000 0.0000 0.0000
Cr 2.3414 2.3414 0.0000
```

Entry 13:
A geometry-optimized LiPb5 structure. Source: the Alexandria database, functional GGA-PBEsol.

Results
The value obtained for the energy relative to the elements is -0.0459 eV/atom. The calculation puts the energy above the most stable polymorph in this dataset at 0.010 eV/atom. The calculation puts the uncorrected energy at -0.13619 Ha/atom. The symmetry is Cm (8).

Structure (extended XYZ):
```
6
Lattice="-3.3140 -1.1154 -0.6676 3.1592 -0.2394 -5.7917 1.5849 -6.7718 3.4460" Properties=species:S:1:pos:R:3 pbc="T T T"
Pb 0.9500 -0.8475 -3.3002
Pb 0.3144 -3.9206 -4.5019
Pb -0.6528 -3.0001 -1.2380
Pb 2.0382 -5.0098 -1.7478
Pb -0.1591 -5.7442 0.8955
Li 1.4083 -8.0753 -2.9908
```

Entry 14:
A geometry-optimized La2YAl structure. Source: the Alexandria database, functional GGA-PBEsol.

Results
The value obtained for the energy relative to the elements is -0.1338 eV/atom. The calculation puts the uncorrected energy at -0.20342 Ha/atom. The symmetry is Immm (71).

Structure (extended XYZ):
```
4
Lattice="-2.2676 1.7280 2.4774 0.3191 -4.0923 3.1465 5.7505 3.6125 -0.1355" Properties=species:S:1:pos:R:3 pbc="T T T"
La 2.7504 1.3995 1.5413
La 1.0516 -0.1513 3.9472
Y -1.1338 0.8640 1.2387
Al 0.1595 -2.0462 1.5733
```

Entry 15:
A geometry-optimized AlCr2Mo structure. Source: the Alexandria database, functional GGA-PBEsol.

Results
The value obtained for the energy relative to the elements is 0.2571 eV/atom. The calculation puts the uncorrected energy at -0.32445 Ha/atom. The symmetry is P4/mmm (123).

Structure (extended XYZ):
```
4
Lattice="-1.2425 1.6606 -1.4533 -2.0516 -0.2551 1.4625 2.6367 6.1485 4.7712" Properties=species:S:1:pos:R:3 pbc="T T T"
Cr 1.9405 4.5250 3.5114
Cr 0.6962 1.6235 1.2598
Mo -1.6470 0.7027 0.0046
Al -0.3287 3.7770 2.3902
```

Entry 16:
A geometry-optimized La2AlTe structure. Source: the Alexandria database, functional GGA-PBEsol.

Results
The calculation puts the energy above the most stable polymorph in this dataset at 0.001 eV/atom. The calculation puts the uncorrected energy at -0.19814 Ha/atom. The symmetry is Cm (8).

Structure (extended XYZ):
```
4
Lattice="-0.0532 0.8847 4.0858 -3.9262 -2.7309 0.5402 3.8273 -4.8283 -1.0437" Properties=species:S:1:pos:R:3 pbc="T T T"
Te -1.3569 -0.9237 2.3214
Al -1.6649 -3.8622 2.9537
La 0.5261 -3.2256 0.7053
La 0.2019 -6.2607 3.4973
```

Entry 17:
A geometry-optimized La2YPt structure. Source: the Alexandria database, functional GGA-PBEsol.

Results
The value obtained for the energy relative to the elements is -0.4525 eV/atom. The calculation puts the uncorrected energy at -0.24152 Ha/atom. The symmetry is R3m (160).

Structure (extended XYZ):
```
4
Lattice="-3.5172 1.4170 -0.8033 -2.4680 0.8069 2.8778 1.4469 9.5567 1.1714" Properties=species:S:1:pos:R:3 pbc="T T T"
La 1.4451 9.5522 1.1712
La -3.6233 8.2729 2.4038
Pt -2.2906 5.8352 1.6199
Y -0.8916 3.5673 0.8453
```

Entry 18:
A geometry-optimized BaSb2SI structure. Source: the Alexandria database, functional GGA-PBEsol.

Results
The calculation puts the energy above the most stable polymorph in this dataset at 1.301 eV/atom. The calculation puts the uncorrected energy at -0.09173 Ha/atom. The symmetry is P4/mmm (123).

Structure (extended XYZ):
```
5
Lattice="-5.4239 1.8824 -2.8084 2.7496 -0.7163 -5.7906 -2.0202 -6.1223 -0.2019" Properties=species:S:1:pos:R:3 pbc="T T T"
I -2.7120 0.9412 -1.4042
Ba 0.0000 0.0000 0.0000
Sb -1.0101 -3.0611 -0.1009
Sb 1.3748 -0.3582 -2.8953
S -2.3473 -2.4781 -4.4004
```

Entry 19:
A geometry-optimized OsRu2Pb structure. Source: the Alexandria database, functional GGA-PBEsol.

Results
The value obtained for the energy relative to the elements is 0.6368 eV/atom. The calculation puts the uncorrected energy at -0.31248 Ha/atom. The symmetry is R-3m (166).

Structure (extended XYZ):
```
4
Lattice="2.8636 0.0000 0.0000 1.4318 2.4799 0.0000 1.4318 0.8266 8.9607" Properties=species:S:1:pos:R:3 pbc="T T T"
Ru 4.2954 2.4799 6.5407
Ru 1.4318 0.8266 2.4200
Os 2.8636 1.6533 4.4803
Pb 0.0000 0.0000 0.0000
```

Entry 20:
A geometry-optimized LaYW2 structure. Source: the Alexandria database, functional GGA-PBEsol.

Results
The value obtained for the energy relative to the elements is 0.5979 eV/atom. The calculation puts the energy above the most stable polymorph in this dataset at 0.000 eV/atom. The calculation puts the uncorrected energy at -0.34353 Ha/atom. The symmetry is Cm (8).

Structure (extended XYZ):
```
4
Lattice="3.1966 0.0000 0.0000 -1.5983 4.1046 0.0001 0.0000 -0.6487 7.4478" Properties=species:S:1:pos:R:3 pbc="T T T"
Y 1.5983 -0.2342 4.2415
La 1.5983 1.8088 1.4557
W 0.0000 1.6161 5.9532
W 1.5983 3.3967 6.9692
```

Entry 21:
A geometry-optimized Mn2FeB2 structure. Source: the Alexandria database, functional GGA-PBEsol.

Results
The value obtained for the energy relative to the elements is -0.4169 eV/atom. The calculation puts the uncorrected energy at -0.32783 Ha/atom. The symmetry is P4/mbm (127).

Structure (extended XYZ):
```
10
Lattice="2.9290 0.0000 0.0000 0.0000 5.3587 0.0000 0.0000 0.0000 5.3587" Properties=species:S:1:pos:R:3 pbc="T T T"
B 0.0000 4.7145 3.3235
B 0.0000 0.6441 2.0352
B 0.0000 3.3235 0.6441
B 0.0000 2.0352 4.7145
Fe 0.0000 0.0000 0.0000
Fe 0.0000 2.6793 2.6793
Mn 1.4645 3.5972 4.4408
Mn 1.4645 1.7615 0.9178
Mn 1.4645 4.4408 1.7615
Mn 1.4645 0.9178 3.5972
```

Entry 22:
A geometry-optimized HgTeRu2 structure. Source: the Alexandria database, functional GGA-PBEsol.

Results
The calculation puts the energy above the most stable polymorph in this dataset at 0.349 eV/atom. The calculation puts the uncorrected energy at -0.19620 Ha/atom. The symmetry is F-43m (216).

Structure (extended XYZ):
```
4
Lattice="-1.2627 4.1398 1.5897 0.7013 1.0817 4.4269 3.2086 3.1115 1.1326" Properties=species:S:1:pos:R:3 pbc="T T T"
Ru 1.9854 6.2497 5.3619
Ru 0.0000 0.0000 0.0000
Hg 1.3236 4.1665 3.5746
Te 0.6618 2.0832 1.7873
```

Entry 23:
A geometry-optimized MnFeCo structure. Source: the Alexandria database, functional GGA-PBEsol.

Results
The value obtained for the energy relative to the elements is 0.0399 eV/atom. The calculation puts the uncorrected energy at -0.32269 Ha/atom. The symmetry is Imm2 (44).

Structure (extended XYZ):
```
3
Lattice="2.4264 0.0000 0.0000 0.0000 3.4445 0.0000 -1.2132 -1.7223 3.6671" Properties=species:S:1:pos:R:3 pbc="T T T"
Co 1.2132 1.7223 3.6627
Fe 1.2132 1.7223 1.2240
Mn 0.0000 0.0000 2.4476
```

Entry 24:
A geometry-optimized TlTe2Ir structure. Source: the Alexandria database, functional GGA-PBEsol.

Results
The calculation puts the energy above the most stable polymorph in this dataset at 0.000 eV/atom. The calculation puts the uncorrected energy at -0.18559 Ha/atom. The symmetry is R-3m (166).

Structure (extended XYZ):
```
4
Lattice="4.0485 0.0000 0.0000 2.0242 3.5061 0.0000 2.0242 1.1687 7.3349" Properties=species:S:1:pos:R:3 pbc="T T T"
Tl 0.0000 0.0000 0.0000
Ir 4.0485 2.3374 3.6675
Te 2.0242 1.1687 2.3740
Te 6.0727 3.5061 4.9609
```

Entry 25:
A geometry-optimized CaTcB2Pb structure. Source: the Alexandria database, functional GGA-PBEsol.

Results
The value obtained for the energy relative to the elements is 2.0526 eV/atom. The calculation puts the uncorrected energy at -0.15558 Ha/atom. The symmetry is P4/mmm (123).

Structure (extended XYZ):
```
5
Lattice="4.5993 0.0000 0.0000 0.0000 4.5993 0.0000 0.0000 0.0000 5.1931" Properties=species:S:1:pos:R:3 pbc="T T T"
Ca 2.2996 2.2996 2.5966
B 2.2996 0.0000 0.0000
B 0.0000 2.2996 0.0000
Pb 0.0000 0.0000 0.0000
Tc 0.0000 0.0000 2.5966
```